Compound: ZnCoO2
Source: Alexandria via LeMat-Bulk
Functional: PBE+U
Structure: optimized geometry

Properties
The value obtained for the calculated density is 5.05 g cm⁻³. The value obtained for the spin magnetization is 2.00 μB per formula unit. The value obtained for the total DFT energy (no corrections) is -0.3745 Ry/atom.

a = 2.9564 Å, b = 8.3433 Å, c = 8.6238 Å
α = 96.56°, β = 97.66°, γ = 99.99°
Space group P-1 (No. 2)
Asymmetric unit:
Zn  0.0832  0.3689  0.2020
Zn  0.1935  0.2863  0.5888
Co  0.1115  0.7468  0.1134
Co  0.4840  0.0579  0.3173
O  0.0729  0.2135  0.3632
O  0.0978  0.0955  0.7252
O  0.2067  0.6008  0.2878
O  0.4848  0.2963  0.0462